No. 1
# CaHgRh2 GGA-PBEsol relaxed
data_CaHgRh2
_cell_length_a 6.5479
_cell_length_b 6.5479
_cell_length_c 6.5479
_cell_angle_alpha 90.00
_cell_angle_beta 90.00
_cell_angle_gamma 90.00
_space_group_name_H-M_alt 'F -4 3 m'
_space_group_IT_number 216
_space_group_name_Hall 'F -4 2 3'
loop_
_atom_site_label
_atom_site_type_symbol
_atom_site_fract_x
_atom_site_fract_y
_atom_site_fract_z
Ca1 Ca 0.0000 0.0000 0.0000
Hg1 Hg 0.2500 0.2500 0.2500
Rh1 Rh 0.0000 0.0000 0.5000
Rh2 Rh 0.2500 0.2500 0.7500
# Magnetization = 0.32 μB per cell
# VASP energy = -75.6 eV per cell
# D(E_F) = 1.723 states/eV/atom

No. 2
# YSc2Ni GGA-PBEsol relaxed
data_YSc2Ni
_cell_length_a 3.3251
_cell_length_b 4.9472
_cell_length_c 10.2742
_cell_angle_alpha 90.00
_cell_angle_beta 90.00
_cell_angle_gamma 90.00
_space_group_name_H-M_alt 'I m m m'
_space_group_IT_number 71
_space_group_name_Hall '-I 2 2'
loop_
_atom_site_label
_atom_site_type_symbol
_atom_site_fract_x
_atom_site_fract_y
_atom_site_fract_z
Y1 Y 0.0000 0.0000 0.0000
Sc1 Sc 0.0000 0.5000 0.1994
Ni1 Ni 0.0000 0.0000 0.5000
# Magnetization = 0.00 μB per cell
# Energy relative to the lowest polymorph listed for this composition = 0 meV/atom
# D(E_F) = 1.286 states/eV/atom

No. 3
# TaSn3W GGA-PBEsol relaxed
data_TaSn3W
_cell_length_a 5.1372
_cell_length_b 5.1372
_cell_length_c 5.1372
_cell_angle_alpha 90.00
_cell_angle_beta 90.00
_cell_angle_gamma 90.00
_space_group_name_H-M_alt 'P m -3 m'
_space_group_IT_number 221
_space_group_name_Hall '-P 4 2 3'
loop_
_atom_site_label
_atom_site_type_symbol
_atom_site_fract_x
_atom_site_fract_y
_atom_site_fract_z
Ta1 Ta 0.0000 0.0000 0.0000
Sn1 Sn 0.0000 0.5000 0.5000
W1 W 0.5000 0.5000 0.5000
# Magnetization = 2.70 μB per cell
# VASP energy = -31.7 eV per cell
# D(E_F) = 1.253 states/eV/atom

No. 4
# CoCuTe2 GGA-PBEsol relaxed
data_CoCuTe2
_cell_length_a 6.5536
_cell_length_b 6.5536
_cell_length_c 6.5536
_cell_angle_alpha 90.00
_cell_angle_beta 90.00
_cell_angle_gamma 90.00
_space_group_name_H-M_alt 'F m -3 m'
_space_group_IT_number 225
_space_group_name_Hall '-F 4 2 3'
loop_
_atom_site_label
_atom_site_type_symbol
_atom_site_fract_x
_atom_site_fract_y
_atom_site_fract_z
Co1 Co 0.0000 0.0000 0.0000
Cu1 Cu 0.0000 0.0000 0.5000
Te1 Te 0.2500 0.2500 0.2500
# Magnetization = 0.01 μB per cell
# Energy relative to the lowest polymorph listed for this composition = 168 meV/atom
# D(E_F) = 0.648 states/eV/atom
# Raw formation energy = 0.396 eV per atom

No. 5
# Sn2SI GGA-PBEsol relaxed
data_Sn2SI
_cell_length_a 7.4085
_cell_length_b 7.4085
_cell_length_c 7.4085
_cell_angle_alpha 90.00
_cell_angle_beta 90.00
_cell_angle_gamma 90.00
_space_group_name_H-M_alt 'F m -3 m'
_space_group_IT_number 225
_space_group_name_Hall '-F 4 2 3'
loop_
_atom_site_label
_atom_site_type_symbol
_atom_site_fract_x
_atom_site_fract_y
_atom_site_fract_z
Sn1 Sn 0.2500 0.2500 0.2500
S1 S 0.0000 0.0000 0.0000
I1 I 0.0000 0.0000 0.5000
# Magnetization = 0.00 μB per cell
# D(E_F) = 0.277 states/eV/atom
# Raw formation energy = -0.058 eV per atom

No. 6
# Pd3PbW GGA-PBEsol relaxed
data_Pd3PbW
_cell_length_a 4.8646
_cell_length_b 4.8646
_cell_length_c 4.8646
_cell_angle_alpha 90.00
_cell_angle_beta 90.00
_cell_angle_gamma 90.00
_space_group_name_H-M_alt 'P m -3 m'
_space_group_IT_number 221
_space_group_name_Hall '-P 4 2 3'
loop_
_atom_site_label
_atom_site_type_symbol
_atom_site_fract_x
_atom_site_fract_y
_atom_site_fract_z
Pd1 Pd 0.0000 0.0000 0.5000
Pb1 Pb 0.0000 0.0000 0.0000
W1 W 0.5000 0.5000 0.5000
# Magnetization = 3.81 μB per cell
# VASP energy = -26.6 eV per cell
# D(E_F) = 0.864 states/eV/atom